No. 1
The following is a GGA-PBE calculation of crystalline Ac2SmPN5 at its relaxed geometry, from Alexandria.

Properties
DOS at the Fermi energy in states/eV/cell: 20.3
Crystal system: tetragonal
Energy in eV for the cell shown: -276.1

abc: 7.0209 7.0209 11.1040
angles: 90.00 90.00 90.00
Space group I4/mcm (No. 140)
Unique sites:
Ac  0.1810  0.3190  0.0000 (multiplicity 8)
Sm  0.0000  0.0000  0.2500 (multiplicity 4)
P  0.0000  0.5000  0.2500 (multiplicity 4)
N  0.0000  0.0000  0.0000 (multiplicity 4)
N  0.1333  0.3667  0.3398 (multiplicity 16)


No. 2
The following is a GGA-PBE calculation of crystalline AcSmPN at its relaxed geometry, from Alexandria.

Properties
DOS at the Fermi energy in states/eV/cell: 10.5
Crystal system: trigonal
Energy in eV for the cell shown: -162.5

abc: 4.2159 4.2159 40.9340
angles: 90.00 90.00 120.00
Space group R-3m (No. 166, hexagonal axes)
Unique sites:
Ac  0.0000  0.0000  0.1176 (multiplicity 6)
Sm  0.0000  0.0000  0.2958 (multiplicity 6)
P  0.0000  0.0000  0.0000 (multiplicity 3)
P  0.0000  0.0000  0.5000 (multiplicity 3)
N  0.0000  0.0000  0.2431 (multiplicity 6)


No. 3
The following is a GGA-PBE calculation of crystalline AcSn3P4N12 at its relaxed geometry, from Alexandria.

Properties
DOS at the Fermi energy in states/eV/cell: 26.4
Crystal system: trigonal
Energy in eV for the cell shown: -419.7

abc: 10.6176 10.6176 8.3254
angles: 90.00 90.00 120.00
Space group R32 (No. 155, hexagonal axes)
Unique sites:
Ac  0.0000  0.0000  0.0000 (multiplicity 3)
Sn  0.0000  0.5529  0.0000 (multiplicity 9)
P  0.0000  0.0000  0.5000 (multiplicity 3)
P  0.0000  0.4438  0.5000 (multiplicity 9)
N  0.0000  0.5934  0.5000 (multiplicity 9)
N  0.0000  0.8513  0.5000 (multiplicity 9)
N  0.0308  0.2128  0.1897 (multiplicity 18)


No. 4
The following is a GGA-PBE calculation of crystalline Ac5Sn2PN at its relaxed geometry, from Alexandria.

Properties
DOS at the Fermi energy in states/eV/cell: 24.2
Crystal system: orthorhombic
Energy in eV for the cell shown: -202.5

abc: 4.6436 19.3235 13.6660
angles: 90.00 90.00 90.00
Space group Cmc2_1 (No. 36)
Unique sites:
Ac  0.0000  0.0012  0.0000 (multiplicity 4)
Ac  0.0000  0.1463  0.2254 (multiplicity 4)
Ac  0.0000  0.1787  0.5925 (multiplicity 4)
Ac  0.0000  0.2046  0.8896 (multiplicity 4)
Ac  0.0000  0.4595  0.2341 (multiplicity 4)
Sn  0.0000  0.3712  0.5418 (multiplicity 4)
Sn  0.0000  0.3845  0.9074 (multiplicity 4)
P  0.0000  0.3003  0.2386 (multiplicity 4)
N  0.0000  0.0495  0.6579 (multiplicity 4)


No. 5
The following is a GGA-PBE calculation of crystalline SrAc3P2N6 at its relaxed geometry, from Alexandria.

Properties
DOS at the Fermi energy in states/eV/cell: 4.7
Crystal system: trigonal
Energy in eV for the cell shown: -86.2

abc: 5.9929 5.9929 6.7476
angles: 90.00 90.00 120.00
Space group P-3m1 (No. 164)
Unique sites:
Sr  0.0000  0.0000  0.0000 (multiplicity 1)
Ac  0.0000  0.0000  0.5000 (multiplicity 1)
Ac  0.3333  0.6667  0.1611 (multiplicity 2)
P  0.3333  0.6667  0.6851 (multiplicity 2)
N  0.1850  0.3699  0.7758 (multiplicity 6)


No. 6
The following is a GGA-PBE calculation of crystalline Ac3TbP2N6 at its relaxed geometry, from Alexandria.

Properties
Crystal system: trigonal
Energy in eV for the cell shown: -92.0

abc: 5.8538 5.8538 6.7832
angles: 90.00 90.00 120.00
Space group P-3m1 (No. 164)
Unique sites:
Ac  0.0000  0.0000  0.0000 (multiplicity 1)
Ac  0.3333  0.6667  0.6559 (multiplicity 2)
Tb  0.0000  0.0000  0.5000 (multiplicity 1)
P  0.3333  0.6667  0.1869 (multiplicity 2)
N  0.1817  0.3634  0.2914 (multiplicity 6)


No. 7
The following is a GGA-PBE calculation of crystalline Ac2TbP2N6 at its relaxed geometry, from Alexandria.

Properties
DOS at the Fermi energy in states/eV/cell: 2.8
Crystal system: trigonal
Energy in eV for the cell shown: -83.6

abc: 5.8459 5.8459 6.2497
angles: 90.00 90.00 120.00
Space group P-3 (No. 147)
Unique sites:
Ac  0.3333  0.6667  0.3209 (multiplicity 2)
Tb  0.0000  0.0000  0.0000 (multiplicity 1)
P  0.3333  0.6667  0.8122 (multiplicity 2)
N  0.1193  0.3639  0.7617 (multiplicity 6)


No. 8
The following is a GGA-PBE calculation of crystalline Ac2TcP2N6 at its relaxed geometry, from Alexandria.

Properties
DOS at the Fermi energy in states/eV/cell: 8.7
Crystal system: trigonal
Energy in eV for the cell shown: -262.2

abc: 5.6197 5.6197 16.1523
angles: 90.00 90.00 120.00
Space group R-3m (No. 166, hexagonal axes)
Unique sites:
Ac  0.0000  0.0000  0.2305 (multiplicity 6)
Tc  0.0000  0.0000  0.0000 (multiplicity 3)
P  0.0000  0.0000  0.4341 (multiplicity 6)
N  0.0055  0.5028  0.2535 (multiplicity 18)


No. 9
The following is a GGA-PBE calculation of crystalline Ac6Te3P2N at its relaxed geometry, from Alexandria.

Properties
DOS at the Fermi energy in states/eV/cell: 11.8
Crystal system: monoclinic
Energy in eV for the cell shown: -140.7

abc: 7.6325 13.1809 8.0910
angles: 90.00 108.34 90.00
Space group C2/m (No. 12)
Unique sites:
Ac  0.2247  0.1565  0.2053 (multiplicity 8)
Ac  0.2447  0.0000  0.7882 (multiplicity 4)
Te  0.0000  0.1740  0.5000 (multiplicity 4)
Te  0.0000  0.5000  0.5000 (multiplicity 2)
P  0.0000  0.3343  0.0000 (multiplicity 4)
N  0.0000  0.0000  0.0000 (multiplicity 2)


No. 10
The following is a GGA-PBE calculation of crystalline Ac8Te4P3N at its relaxed geometry, from Alexandria.

Properties
DOS at the Fermi energy in states/eV/cell: 16.2
Crystal system: trigonal
Energy in eV for the cell shown: -279.9

abc: 8.8644 8.8644 23.1266
angles: 90.00 90.00 120.00
Space group R-3m (No. 166, hexagonal axes)
Unique sites:
Ac  0.0000  0.0000  0.2391 (multiplicity 6)
Ac  0.0176  0.5088  0.2355 (multiplicity 18)
Te  0.0000  0.0000  0.0000 (multiplicity 3)
Te  0.0000  0.5000  0.0000 (multiplicity 9)
P  0.0000  0.5000  0.5000 (multiplicity 9)
N  0.0000  0.0000  0.5000 (multiplicity 3)


Asked for spin magnetization across the records above, the calculation gives 0.00; 0.00; 0.00; 0.01; 0.00; 0.00; 0.43; 2.67; 0.00; 0.00 μB per formula unit in order.